(1)
A geometry-optimized LaNd6Er structure. Source: Alexandria, functional GGA-PBE.

Results
SG: P4/mmm
crystal system: tetragonal
energy: -0.1743 Ha/atom
formation enthalpy at 0 K: 18 meV/atom

a = 5.186 Å, b = 5.186 Å, c = 10.384 Å
α = 90.00°, β = 90.00°, γ = 90.00°
Atoms (fractional coordinates):
La 0.000 0.000 0.000
Nd 0.500 0.000 0.746
Nd 0.000 0.500 0.254
Nd 0.500 0.500 0.500
Nd 0.500 0.000 0.254
Er 0.000 0.000 0.500
Nd 0.000 0.500 0.746
Nd 0.500 0.500 0.000

=====

(2)
A geometry-optimized La2Nd4Er3 structure. Source: Alexandria, functional GGA-PBE.

Results
SG: P3m1
polymorph energy (0 for the lowest one): 0.64 kcal/mol of atoms
crystal system: trigonal
energy: -0.1720 Ha/atom
formation enthalpy at 0 K: 54 meV/atom

a = 3.640 Å, b = 3.640 Å, c = 27.182 Å
α = 90.00°, β = 90.00°, γ = 120.00°
Atoms (fractional coordinates):
Er 0.000 0.000 0.325
Nd 0.667 0.333 0.432
Nd 0.000 0.000 0.757
Er 0.000 0.000 0.982
Er 0.667 0.333 0.652
La 0.667 0.333 0.088
Nd 0.000 0.000 0.546
Nd 0.667 0.333 0.222
La 0.667 0.333 0.874

=====

(3)
A geometry-optimized LaNd7Er4 structure. Source: Alexandria, functional GGA-PBE.

Results
SG: C2/m
polymorph energy (0 for the lowest one): 5.45 kcal/mol of atoms
crystal system: monoclinic
energy: -0.1644 Ha/atom
formation enthalpy at 0 K: 239 meV/atom

a = 6.051 Å, b = 11.709 Å, c = 6.790 Å
α = 82.93°, β = 63.54°, γ = 75.03°
Atoms (fractional coordinates):
La 0.000 0.000 0.000
Nd 0.943 0.332 0.783
Er 0.746 0.685 0.824
Nd 0.631 0.496 0.241
Er 0.254 0.315 0.176
Er 0.634 0.225 0.507
Nd 0.791 0.919 0.498
Nd 0.057 0.668 0.217
Nd 0.369 0.504 0.759
Nd 0.500 0.000 0.000
Er 0.366 0.775 0.493
Nd 0.209 0.081 0.502

=====

(4)
A geometry-optimized La3Nd3Er5 structure. Source: Alexandria, functional GGA-PBE.

Results
SG: P-62m
crystal system: hexagonal
energy: -0.1463 Ha/atom
formation enthalpy at 0 K: 737 meV/atom

a = 5.467 Å, b = 9.703 Å, c = 9.703 Å
α = 120.00°, β = 90.00°, γ = 90.00°
Atoms (fractional coordinates):
Er 0.500 0.333 0.667
La 0.500 0.358 0.000
Er 0.500 0.285 0.285
Er 0.500 0.715 0.000
Er 0.500 0.667 0.333
Nd 0.000 0.000 0.505
Nd 0.000 0.505 0.000
La 0.500 0.000 0.358
Nd 0.000 0.495 0.495
La 0.500 0.642 0.642
Er 0.500 0.000 0.715

=====

(5)
A geometry-optimized LaNd2Er9 structure. Source: Alexandria, functional GGA-PBE.

Results
SG: P4/mmm
polymorph energy (0 for the lowest one): 0.00 kcal/mol of atoms
crystal system: tetragonal
energy: -0.1690 Ha/atom
formation enthalpy at 0 K: 29 meV/atom

a = 5.031 Å, b = 5.031 Å, c = 15.102 Å
α = 90.00°, β = 90.00°, γ = 90.00°
Atoms (fractional coordinates):
Er 0.500 0.500 0.334
La 0.000 0.000 0.000
Er 0.000 0.500 0.169
Er 0.500 0.500 0.666
Nd 0.000 0.000 0.667
Nd 0.000 0.000 0.333
Er 0.000 0.500 0.500
Er 0.000 0.500 0.831
Er 0.500 0.500 0.000
Er 0.500 0.000 0.831
Er 0.500 0.000 0.500
Er 0.500 0.000 0.169

=====

(6)
A geometry-optimized LaNdEr2 structure. Source: Alexandria, functional GGA-PBE.

Results
SG: P4/mmm
polymorph energy (0 for the lowest one): 0.25 kcal/mol of atoms
crystal system: tetragonal
energy: -0.1720 Ha/atom
formation enthalpy at 0 K: 26 meV/atom

a = 4.985 Å, b = 5.167 Å, c = 5.167 Å
α = 90.00°, β = 90.00°, γ = 90.00°
Atoms (fractional coordinates):
Er 0.000 0.000 0.500
Nd 0.500 0.500 0.500
La 0.500 0.000 0.000
Er 0.000 0.500 0.000

=====

(7)
A geometry-optimized La3NdEr2 structure. Source: Alexandria, functional GGA-PBE.

Results
SG: Imma
polymorph energy (0 for the lowest one): 0.00 kcal/mol of atoms
crystal system: orthorhombic
energy: -0.1707 Ha/atom
formation enthalpy at 0 K: 135 meV/atom

a = 6.581 Å, b = 7.310 Å, c = 10.116 Å
α = 111.21°, β = 108.98°, γ = 90.00°
Atoms (fractional coordinates):
La 0.232 0.250 0.000
Er 0.354 0.854 0.708
La 0.186 0.930 0.360
Er 0.354 0.354 0.708
Nd 0.733 0.250 0.000
La 0.814 0.070 0.640
La 0.174 0.430 0.360
La 0.768 0.750 0.000
Er 0.646 0.146 0.292
La 0.826 0.570 0.640
Er 0.646 0.646 0.292
Nd 0.267 0.750 0.000

=====

(8)
A geometry-optimized La2Nd2Er structure. Source: Alexandria, functional GGA-PBE.

Results
SG: Imma
polymorph energy (0 for the lowest one): 2.36 kcal/mol of atoms
crystal system: orthorhombic
energy: -0.1714 Ha/atom
formation enthalpy at 0 K: 125 meV/atom

a = 5.829 Å, b = 3.622 Å, c = 16.982 Å
α = 96.12°, β = 99.88°, γ = 90.00°
Atoms (fractional coordinates):
Er 0.825 0.575 0.650
Nd 0.729 0.979 0.457
Nd 0.368 0.118 0.735
Er 0.175 0.425 0.350
La 0.458 0.708 0.917
Nd 0.271 0.021 0.543
Nd 0.632 0.882 0.265
La 0.938 0.188 0.875
La 0.062 0.812 0.125
La 0.542 0.292 0.083